Computed, not measured: a geometry-optimized YAl2SiPd4 structure at the PBE-GGA level of DFT.

Calculated values
Energy ... -5.795 eV per atom
Raw formation energy ... -777 meV/atom

Structure (POSCAR):
```
YAl2SiPd4
1.0
2.147 1.240 8.464
-2.147 1.240 8.464
0.000 -2.480 8.464
Y Al Si Pd
1 2 1 4
Direct
0.000 0.000 0.000 Y
0.245 0.245 0.245 Al
0.755 0.755 0.755 Al
0.500 0.500 0.500 Si
0.136 0.136 0.136 Pd
0.405 0.405 0.405 Pd
0.595 0.595 0.595 Pd
0.864 0.864 0.864 Pd
```


Computed, not measured: a geometry-optimized Y2AlSiPd6 structure at the PBE-GGA level of DFT.

Calculated values
Energy ... -6.078 eV per atom
Raw formation energy ... -753 meV/atom

Structure (POSCAR):
```
Y2AlSiPd6
1.0
5.508 0.000 0.000
2.754 5.685 0.000
2.748 0.449 5.862
Y Al Si Pd
2 1 1 6
Direct
0.001 0.246 0.250 Y
0.999 0.754 0.750 Y
0.500 0.000 0.500 Al
0.500 0.500 0.000 Si
0.007 0.692 0.297 Pd
0.339 0.912 0.913 Pd
0.497 0.308 0.702 Pd
0.503 0.692 0.298 Pd
0.661 0.088 0.087 Pd
0.993 0.308 0.703 Pd
```


Computed, not measured: a geometry-optimized Sm3Al6Pd20 structure at the PBE-GGA level of DFT.

Calculated values
Energy ... -5.603 eV per atom
E_form ... -759 meV/atom

Structure (POSCAR):
```
Sm3Al6Pd20
1.0
0.000 6.251 6.251
6.251 0.000 6.251
6.251 6.251 0.000
Sm Al Pd
3 6 20
Direct
0.000 0.000 0.000 Sm
0.250 0.250 0.250 Sm
0.750 0.750 0.750 Sm
0.272 0.272 0.728 Al
0.272 0.728 0.272 Al
0.272 0.728 0.728 Al
0.728 0.272 0.272 Al
0.728 0.272 0.728 Al
0.728 0.728 0.272 Al
0.000 0.000 0.345 Pd
0.000 0.000 0.655 Pd
0.000 0.345 0.000 Pd
0.000 0.345 0.655 Pd
0.000 0.655 0.000 Pd
0.000 0.655 0.345 Pd
0.143 0.619 0.619 Pd
0.345 0.000 0.000 Pd
0.345 0.000 0.655 Pd
0.345 0.655 0.000 Pd
0.381 0.381 0.381 Pd
0.381 0.381 0.857 Pd
0.381 0.857 0.381 Pd
0.619 0.143 0.619 Pd
0.619 0.619 0.143 Pd
0.619 0.619 0.619 Pd
0.655 0.000 0.000 Pd
0.655 0.000 0.345 Pd
0.655 0.345 0.000 Pd
0.857 0.381 0.381 Pd
```


Computed, not measured: a geometry-optimized Sm2AlPd structure at the PBE-GGA level of DFT.

Calculated values
Energy ... -5.168 eV per atom
Offset from the most stable computed form ... 0.0 kJ/mol of formula units
E_form ... -575 meV/atom

Structure (POSCAR):
```
Sm2AlPd
1.0
3.587 0.000 0.000
0.000 3.587 0.000
0.000 0.000 7.469
Sm Al Pd
2 1 1
Direct
0.000 0.000 0.237 Sm
0.000 0.000 0.763 Sm
0.500 0.500 0.500 Al
0.500 0.500 0.000 Pd
```


Computed, not measured: a geometry-optimized Sm3Al7Pd4 structure at the PBE-GGA level of DFT.

Calculated values
Energy ... -5.146 eV per atom
E_form ... -780 meV/atom

Structure (POSCAR):
```
Sm3Al7Pd4
1.0
7.914 -2.164 0.000
7.914 2.164 0.000
-5.416 0.000 7.801
Sm Al Pd
3 7 4
Direct
0.000 0.000 0.000 Sm
0.309 0.309 0.307 Sm
0.691 0.691 0.693 Sm
0.000 0.000 0.500 Al
0.151 0.151 0.423 Al
0.320 0.320 0.974 Al
0.496 0.496 0.706 Al
0.504 0.504 0.294 Al
0.680 0.680 0.026 Al
0.849 0.849 0.577 Al
0.119 0.119 0.844 Pd
0.339 0.339 0.714 Pd
0.661 0.661 0.286 Pd
0.881 0.881 0.156 Pd
```


Computed, not measured: a geometry-optimized SmAl4Pd8 structure at the PBE-GGA level of DFT.

Calculated values
Energy ... -5.519 eV per atom
E_form ... -809 meV/atom

Structure (POSCAR):
```
SmAl4Pd8
1.0
-4.419 4.419 2.689
4.419 -4.419 2.689
4.419 4.419 -2.689
Sm Al Pd
1 4 8
Direct
0.000 0.000 0.000 Sm
0.000 0.000 0.500 Al
0.000 0.500 0.000 Al
0.500 0.000 0.000 Al
0.500 0.500 0.500 Al
0.000 0.337 0.337 Pd
0.000 0.663 0.663 Pd
0.277 0.500 0.777 Pd
0.337 0.000 0.337 Pd
0.500 0.277 0.777 Pd
0.500 0.723 0.223 Pd
0.663 0.000 0.663 Pd
0.723 0.500 0.223 Pd
```


Computed, not measured: a geometry-optimized Sm2Al5Pd3 structure at the PBE-GGA level of DFT.

Calculated values
Energy ... -5.140 eV per atom
Offset from the most stable computed form ... 30.5 kJ/mol of formula units
E_form ... -767 meV/atom

Structure (POSCAR):
```
Sm2Al5Pd3
1.0
2.194 -12.698 0.000
2.194 12.698 0.000
0.000 0.000 6.761
Sm Al Pd
4 10 6
Direct
0.018 0.982 0.500 Sm
0.325 0.675 0.532 Sm
0.675 0.325 0.032 Sm
0.982 0.018 0.000 Sm
0.103 0.897 0.846 Al
0.208 0.792 0.344 Al
0.211 0.789 0.744 Al
0.373 0.627 0.011 Al
0.445 0.555 0.678 Al
0.555 0.445 0.178 Al
0.627 0.373 0.511 Al
0.789 0.211 0.244 Al
0.792 0.208 0.844 Al
0.897 0.103 0.346 Al
0.108 0.892 0.244 Pd
0.273 0.727 0.046 Pd
0.448 0.552 0.286 Pd
0.552 0.448 0.786 Pd
0.727 0.273 0.546 Pd
0.892 0.108 0.744 Pd
```


Computed, not measured: a geometry-optimized SmAlPd2 structure at the PBE-GGA level of DFT.

Calculated values
Energy ... -5.606 eV per atom
E_form ... -894 meV/atom

Structure (POSCAR):
```
SmAlPd2
1.0
7.428 0.000 0.000
0.000 7.114 0.000
0.000 0.000 5.823
Sm Al Pd
4 4 8
Direct
0.031 0.250 0.151 Sm
0.469 0.750 0.651 Sm
0.531 0.250 0.349 Sm
0.969 0.750 0.849 Sm
0.117 0.750 0.349 Al
0.383 0.250 0.849 Al
0.617 0.750 0.151 Al
0.883 0.250 0.651 Al
0.180 0.052 0.588 Pd
0.180 0.448 0.588 Pd
0.320 0.552 0.088 Pd
0.320 0.948 0.088 Pd
0.680 0.052 0.912 Pd
0.680 0.448 0.912 Pd
0.820 0.552 0.412 Pd
0.820 0.948 0.412 Pd
```